1.
LiSc2CrRh PBE relaxed; energy relative to the elements = 0.49 eV per atom; DOS(E_F) = 0.771 states/eV/atom; symmetry = No. 123; volume = 92 Å³ per cell
1.0
-3.7126 2.2462 2.0316
-2.3925 -1.2834 -2.9532
-1.0036 -3.9448 2.5274
Sc Rh Cr Li
2 1 1 1
Direct
0.5000 0.0000 0.0000
0.0000 0.0000 0.5000
0.0000 0.5000 0.0000
0.5000 0.5000 0.5000
0.0000 0.0000 0.0000

---

2.
KCaTa2 PBE relaxed; energy relative to the elements = 2.02 eV per atom; DOS(E_F) = 1.696 states/eV/atom; symmetry = No. 225; relative energy among the computed polymorphs = 1.413 eV per atom; volume = 104 Å³ per cell
1.0
0.0000 3.7309 3.7309
3.7309 0.0000 3.7309
3.7309 3.7309 0.0000
Ta Ca K
2 1 1
Direct
0.2500 0.2500 0.2500
0.7500 0.7500 0.7500
0.5000 0.5000 0.5000
0.0000 0.0000 0.0000

---

3.
Er2Sn5Rh3 PBE relaxed; energy relative to the elements = -0.70 eV per atom; DOS(E_F) = 0.444 states/eV/atom; symmetry = No. 36; volume = 423 Å³ per cell
1.0
4.3436 0.0000 -0.7399
0.0000 7.2496 0.0000
0.0544 0.0000 13.4386
Er Sn Rh
4 10 6
Direct
0.1714 0.7258 0.3428
0.8286 0.2258 0.6572
0.4756 0.7565 0.9512
0.5244 0.2565 0.0488
0.9526 0.0942 0.9052
0.4035 0.3802 0.8070
0.1200 0.2587 0.2400
0.5965 0.8802 0.1930
0.0474 0.5942 0.0948
0.8800 0.7587 0.7600
0.7053 0.4371 0.4105
0.2947 0.9371 0.5895
0.7090 0.0057 0.4180
0.2910 0.5057 0.5820
0.0495 0.9783 0.0989
0.9505 0.4783 0.9011
0.6063 0.5079 0.2126
0.7771 0.7204 0.5541
0.3937 0.0079 0.7874
0.2229 0.2204 0.4459

---

4.
Y2GaPb PBE relaxed; energy relative to the elements = -0.44 eV per atom; DOS(E_F) = 0.765 states/eV/atom; symmetry = No. 166; volume = 111 Å³ per cell
1.0
3.7349 0.0000 0.0000
1.8674 3.2345 0.0000
1.8674 1.0782 9.1490
Y Ga Pb
2 1 1
Direct
0.2593 0.2593 0.2222
0.7407 0.7407 0.7778
0.0000 0.0000 0.0000
0.5000 0.5000 0.5000

---

5.
Er2HfRh3 PBE relaxed; energy relative to the elements = -0.91 eV per atom; DOS(E_F) = 0.529 states/eV/atom; symmetry = No. 164; volume = 113 Å³ per cell
1.0
4.7244 0.0000 0.0000
-2.3622 4.0914 0.0000
0.0000 0.0000 5.8448
Hf Er Rh
1 2 3
Direct
0.0000 0.0000 0.0000
0.3333 0.6667 0.6656
0.6667 0.3333 0.3344
0.3333 0.6667 0.1469
0.0000 0.0000 0.5000
0.6667 0.3333 0.8531

---

6.
Rb2ReGeSb PBE relaxed; DOS(E_F) = 1.908 states/eV/atom; symmetry = No. 123; volume = 242 Å³ per cell; ΔE_f (raw) = 6.791 eV per formula unit
1.0
6.8325 0.0000 0.0000
0.0000 5.1925 0.0000
0.0000 0.0000 6.8325
Re Rb Sb Ge
1 2 1 1
Direct
0.5000 0.5000 0.5000
0.0000 0.0000 0.5000
0.5000 0.0000 0.0000
0.0000 0.5000 0.0000
0.0000 0.0000 0.0000

---

7.
Pm6GeTe5 PBE relaxed; DOS(E_F) = 0.515 states/eV/atom; symmetry = No. 12; volume = 373 Å³ per cell; ΔE_f (raw) = -16.694 eV per formula unit
1.0
7.7120 0.1974 0.0000
2.3624 7.3288 0.0000
1.1812 3.6644 6.6549
Te Ge Pm
5 1 6
Direct
0.0000 0.3348 0.3303
0.5000 0.8265 0.3471
0.0000 0.6652 0.6697
0.5000 0.5000 0.0000
0.5000 0.1735 0.6529
0.0000 0.0000 0.0000
0.7622 0.7705 0.0000
0.2335 0.9230 0.6892
0.2378 0.2295 0.0000
0.2335 0.6122 0.3108
0.7665 0.0770 0.3108
0.7665 0.3878 0.6892

---

8.
Cr2CuP PBE relaxed; energy relative to the elements = 0.30 eV per atom; DOS(E_F) = 1.037 states/eV/atom; symmetry = No. 122; volume = 102 Å³ per cell
1.0
6.5354 0.0000 0.0000
0.0000 6.5354 0.0000
3.2677 3.2677 2.3965
P Cu Cr
2 2 4
Direct
0.5000 0.5000 0.0000
0.2500 0.7500 0.5000
0.7500 0.2500 0.5000
0.0000 0.0000 0.0000
0.3750 0.4094 0.7500
0.8750 0.8406 0.7500
0.5906 0.1250 0.2500
0.1594 0.6250 0.2500